# 1
{
  "formula": "CoRhAu2",
  "functional": "PBE",
  "state": "optimized geometry",
  "volume_a3_per_atom": 15.49,
  "relative_energy_ev_per_fu": 0.39,
  "e_form_mev_per_atom": 196,
  "mass_density_kg_m3": 14896,
  "dos_at_fermi_per_ev_cell": 3.88,
  "lattice_angstrom": [[4.840, -0.004, 0.010], [4.015, 2.704, 0.010], [0.952, 0.290, 4.730]],
  "species": ["Rh", "Co", "Au", "Au"],
  "fractional_positions": [[0.761, 0.761, 0.732], [0.493, 0.493, 0.518], [0.242, 0.242, 0.256], [0.004, 0.004, 0.994]]
}

=====

# 2
{
  "formula": "NdZnF5",
  "functional": "PBE",
  "state": "optimized geometry",
  "volume_a3_per_atom": 16.22,
  "raw_formation_energy_ev_per_atom": -3.2958,
  "mass_density_kg_m3": 4456,
  "dos_at_fermi_per_ev_cell": 0.00,
  "lattice_angstrom": [[5.419, -0.052, 1.993], [1.156, 5.294, 1.993], [-0.045, -0.036, 7.870]],
  "species": ["F", "F", "F", "F", "F", "F", "F", "F", "F", "F", "Zn", "Zn", "Nd", "Nd"],
  "fractional_positions": [[0.319, 0.698, 0.033], [0.099, 0.901, 0.750], [0.745, 0.787, 0.620], [0.787, 0.745, 0.120], [0.255, 0.213, 0.380], [0.901, 0.099, 0.250], [0.698, 0.319, 0.533], [0.681, 0.302, 0.967], [0.213, 0.255, 0.880], [0.302, 0.681, 0.467], [0.000, 0.000, 0.500], [0.000, 0.000, 0.000], [0.444, 0.556, 0.750], [0.556, 0.444, 0.250]]
}

=====

# 3
{
  "formula": "BeP2Br",
  "functional": "PBE",
  "state": "optimized geometry",
  "volume_a3_per_atom": 22.74,
  "relative_energy_ev_per_fu": 4.14,
  "raw_formation_energy_ev_per_atom": 0.8023,
  "mass_density_kg_m3": 2754,
  "dos_at_fermi_per_ev_cell": 1.82,
  "lattice_angstrom": [[-1.659, 5.114, 3.390], [-2.077, -3.719, -4.717], [-1.648, -2.127, 2.403]],
  "species": ["Br", "P", "P", "Be"],
  "fractional_positions": [[0.000, 0.500, 0.500], [0.000, 0.000, 0.000], [0.500, 0.500, 0.000], [0.500, 0.000, 0.500]]
}

=====

# 4
{
  "formula": "Pa2SnGe2Ru5",
  "functional": "PBE",
  "state": "optimized geometry",
  "volume_a3_per_atom": 17.55,
  "e_form_mev_per_atom": -446,
  "mass_density_kg_m3": 11652,
  "dos_at_fermi_per_ev_cell": 11.85,
  "lattice_angstrom": [[-0.205, 2.652, -2.449], [-7.977, 3.578, 4.543], [5.756, 5.661, 5.648]],
  "species": ["Ru", "Ru", "Ru", "Ru", "Ru", "Ru", "Ru", "Ru", "Ru", "Ru", "Ge", "Ge", "Ge", "Ge", "Pa", "Pa", "Pa", "Pa", "Sn", "Sn"],
  "fractional_positions": [[0.500, 0.921, 0.209], [0.500, 0.079, 0.791], [0.500, 0.500, 0.000], [0.500, 0.709, 0.421], [0.500, 0.000, 0.500], [0.500, 0.791, 0.921], [0.500, 0.291, 0.579], [0.500, 0.421, 0.291], [0.500, 0.579, 0.709], [0.500, 0.209, 0.079], [0.000, 0.621, 0.879], [0.000, 0.121, 0.621], [0.000, 0.879, 0.379], [0.000, 0.379, 0.121], [0.000, 0.322, 0.822], [0.000, 0.178, 0.322], [0.000, 0.678, 0.178], [0.000, 0.822, 0.678], [0.000, 0.500, 0.500], [0.000, 0.000, 0.000]]
}

=====

# 5
{
  "formula": "CdGaSe2Br",
  "functional": "PBE",
  "state": "optimized geometry",
  "volume_a3_per_atom": 26.16,
  "relative_energy_ev_per_fu": 0.00,
  "raw_formation_energy_ev_per_atom": 0.0109,
  "mass_density_kg_m3": 5331,
  "dos_at_fermi_per_ev_cell": 4.11,
  "lattice_angstrom": [[-1.138, -3.581, -3.382], [1.431, -3.561, 3.290], [-4.773, -0.219, 1.838]],
  "species": ["Se", "Se", "Br", "Ga", "Cd"],
  "fractional_positions": [[0.500, 0.000, 0.000], [0.000, 0.500, 0.000], [0.000, 0.000, 0.500], [0.000, 0.000, 0.000], [0.500, 0.500, 0.500]]
}

=====

# 6
{
  "formula": "Sm3Pu5S8",
  "functional": "PBE",
  "state": "optimized geometry",
  "volume_a3_per_atom": 22.28,
  "raw_formation_energy_ev_per_atom": -1.8794,
  "mass_density_kg_m3": 8980,
  "dos_at_fermi_per_ev_cell": 38.38,
  "lattice_angstrom": [[-5.124, -3.809, -4.748], [1.597, -7.398, -2.454], [-4.233, -6.126, 2.817]],
  "species": ["Pu", "Pu", "Pu", "Pu", "Pu", "S", "S", "S", "S", "S", "S", "S", "S", "Sm", "Sm", "Sm"],
  "fractional_positions": [[0.500, 0.500, 0.500], [0.500, 0.500, 0.000], [0.000, 0.000, 0.000], [0.500, 0.000, 0.000], [0.000, 0.500, 0.000], [0.750, 0.254, 0.246], [0.250, 0.250, 0.754], [0.254, 0.750, 0.246], [0.250, 0.746, 0.754], [0.746, 0.250, 0.754], [0.252, 0.252, 0.245], [0.750, 0.750, 0.246], [0.748, 0.748, 0.755], [0.500, 0.000, 0.500], [0.000, 0.000, 0.500], [0.000, 0.500, 0.500]]
}

=====

# 7
{
  "formula": "LaTb2Ho5",
  "functional": "PBE",
  "state": "optimized geometry",
  "volume_a3_per_atom": 32.01,
  "e_form_mev_per_atom": 24,
  "mass_density_kg_m3": 8309,
  "dos_at_fermi_per_ev_cell": 20.50,
  "lattice_angstrom": [[-3.252, -3.136, -2.212], [0.466, -4.419, 5.580], [-10.852, 6.808, 6.299]],
  "species": ["La", "La", "Tb", "Tb", "Tb", "Tb", "Ho", "Ho", "Ho", "Ho", "Ho", "Ho", "Ho", "Ho", "Ho", "Ho"],
  "fractional_positions": [[0.000, 0.500, 0.000], [0.000, 0.000, 0.500], [0.500, 0.748, 0.373], [0.500, 0.252, 0.627], [0.500, 0.752, 0.873], [0.500, 0.248, 0.127], [0.000, 0.502, 0.748], [0.500, 0.750, 0.626], [0.000, 0.000, 0.000], [0.000, 0.498, 0.252], [0.500, 0.750, 0.126], [0.500, 0.250, 0.874], [0.500, 0.250, 0.374], [0.000, 0.002, 0.752], [0.000, 0.500, 0.500], [0.000, 0.998, 0.248]]
}

=====

# 8
{
  "formula": "Zr2TiPb2",
  "functional": "PBE",
  "state": "optimized geometry",
  "volume_a3_per_atom": 24.43,
  "relative_energy_ev_per_fu": 1.59,
  "e_form_mev_per_atom": 261,
  "mass_density_kg_m3": 8764,
  "dos_at_fermi_per_ev_cell": 9.91,
  "lattice_angstrom": [[-4.057, -0.657, -6.931], [-2.871, -7.150, 2.359], [-2.962, 1.708, 1.572]],
  "species": ["Pb", "Pb", "Pb", "Pb", "Ti", "Ti", "Zr", "Zr", "Zr", "Zr"],
  "fractional_positions": [[0.829, 0.329, 0.500], [0.671, 0.829, 0.500], [0.171, 0.671, 0.500], [0.329, 0.171, 0.500], [0.000, 0.000, 0.000], [0.500, 0.500, 0.000], [0.368, 0.868, 0.000], [0.868, 0.632, 0.000], [0.132, 0.368, 0.000], [0.632, 0.132, 0.000]]
}